[1]
# SrInCu

An optimized crystal structure of SrInCu (PBE-GGA, the Alexandria database).

Computed properties:
Calculated total energy: -35.57 eV/cell
Energy relative to the elements: -0.13 eV per atom

```
data_SrInCu
_chemical_formula_sum 'Sr4 In4 Cu4'
_symmetry_space_group_name_H-M 'C 1 2/m 1'
_symmetry_Int_Tables_number 12
_cell_length_a 8.008
_cell_length_b 4.579
_cell_length_c 10.260
_cell_angle_alpha 90.00
_cell_angle_beta 104.33
_cell_angle_gamma 90.00
loop_
_symmetry_equiv_pos_as_xyz
'x,y,z'
'-x,-y,-z'
'-x,y,-z'
'x,-y,z'
'x+1/2,y+1/2,z'
'-x+1/2,-y+1/2,-z'
'-x+1/2,y+1/2,-z'
'x+1/2,-y+1/2,z'
loop_
_atom_site_label
_atom_site_fract_x
_atom_site_fract_y
_atom_site_fract_z
Sr1 0.231 0.000 0.188
In1 0.136 0.500 0.412
Cu1 0.044 0.000 0.624
```

[2]
# SrInCu10

An optimized crystal structure of SrInCu10 (PBE-GGA, the Alexandria database).

Computed properties:
Calculated total energy: -45.55 eV/cell
Energy relative to the elements: -0.01 eV per atom

```
data_SrInCu10
_chemical_formula_sum 'Sr1 In1 Cu10'
_symmetry_space_group_name_H-M 'P m m m'
_symmetry_Int_Tables_number 47
_cell_length_a 4.076
_cell_length_b 5.060
_cell_length_c 8.822
_cell_angle_alpha 90.00
_cell_angle_beta 90.00
_cell_angle_gamma 90.00
loop_
_symmetry_equiv_pos_as_xyz
'x,y,z'
'-x,-y,-z'
'-x,-y,z'
'x,y,-z'
'x,-y,-z'
'-x,y,z'
'-x,y,-z'
'x,-y,z'
loop_
_atom_site_label
_atom_site_fract_x
_atom_site_fract_y
_atom_site_fract_z
Sr1 0.000 0.000 0.000
In1 0.000 0.500 0.500
Cu1 0.000 0.000 0.347
Cu2 0.000 0.500 0.188
Cu3 0.500 0.000 0.500
Cu4 0.500 0.251 0.256
Cu5 0.500 0.500 0.000
```

[3]
# Sr3In9Cu2

An optimized crystal structure of Sr3In9Cu2 (PBE-GGA, the Alexandria database).

Computed properties:
Calculated total energy: -83.10 eV/cell
Energy relative to the elements: -0.26 eV per atom

```
data_Sr3In9Cu2
_chemical_formula_sum 'Sr6 In18 Cu4'
_symmetry_space_group_name_H-M 'I m m m'
_symmetry_Int_Tables_number 71
_symmetry_space_group_name_Hall '-I 2 2'
_cell_length_a 4.858
_cell_length_b 11.100
_cell_length_c 13.691
_cell_angle_alpha 90.00
_cell_angle_beta 90.00
_cell_angle_gamma 90.00
loop_
_atom_site_label
_atom_site_fract_x
_atom_site_fract_y
_atom_site_fract_z
Sr1 0.000 0.000 0.000
Sr2 0.000 0.000 0.310
In1 0.000 0.283 0.132
In2 0.000 0.366 0.347
In3 0.000 0.500 0.000
Cu1 0.000 0.201 0.500
```

[4]
# SrInCu

An optimized crystal structure of SrInCu (PBE-GGA, the Alexandria database).

Computed properties:
Calculated total energy: -36.97 eV/cell
Energy relative to the elements: -0.24 eV per atom

```
data_SrInCu
_chemical_formula_sum 'Sr4 In4 Cu4'
_symmetry_space_group_name_H-M 'I m m 2'
_symmetry_Int_Tables_number 44
_cell_length_a 4.622
_cell_length_b 8.183
_cell_length_c 8.363
_cell_angle_alpha 90.00
_cell_angle_beta 90.00
_cell_angle_gamma 90.00
loop_
_symmetry_equiv_pos_as_xyz
'x,y,z'
'-x,-y,z'
'-x,y,z'
'x,-y,z'
'x+1/2,y+1/2,z+1/2'
'-x+1/2,-y+1/2,z+1/2'
'-x+1/2,y+1/2,z+1/2'
'x+1/2,-y+1/2,z+1/2'
loop_
_atom_site_label
_atom_site_fract_x
_atom_site_fract_y
_atom_site_fract_z
Sr1 0.000 0.000 0.000
Sr2 0.000 0.500 0.082
In1 0.000 0.302 0.716
Cu1 0.000 0.223 0.389
```

[5]
# SrIn6Cu7

An optimized crystal structure of SrIn6Cu7 (PBE-GGA, the Alexandria database).

Computed properties:
Calculated total energy: -388.40 eV/cell
Energy relative to the elements: -0.13 eV per atom

```
data_SrIn6Cu7
_chemical_formula_sum 'Sr8 In48 Cu56'
_symmetry_space_group_name_H-M 'C m c m'
_symmetry_Int_Tables_number 63
_symmetry_space_group_name_Hall '-C 2c 2'
_cell_length_a 12.805
_cell_length_b 12.767
_cell_length_c 12.748
_cell_angle_alpha 90.00
_cell_angle_beta 90.00
_cell_angle_gamma 90.00
loop_
_atom_site_label
_atom_site_fract_x
_atom_site_fract_y
_atom_site_fract_z
Sr1 0.248 0.000 0.000
In1 0.000 0.060 0.114
In2 0.000 0.389 0.569
In3 0.136 0.084 0.750
In4 0.138 0.248 0.063
In5 0.141 0.458 0.750
Cu1 0.000 0.152 0.582
Cu2 0.000 0.235 0.250
Cu3 0.000 0.260 0.750
Cu4 0.000 0.408 0.146
Cu5 0.171 0.131 0.250
Cu6 0.171 0.268 0.647
Cu7 0.171 0.337 0.250
```

[6]
# SrIn12Cu6

An optimized crystal structure of SrIn12Cu6 (PBE-GGA, the Alexandria database).

Computed properties:
Calculated total energy: -176.70 eV/cell
Energy relative to the elements: 0.01 eV per atom

```
data_SrIn12Cu6
_chemical_formula_sum 'Sr3 In36 Cu18'
_symmetry_space_group_name_H-M 'R -3 m'
_symmetry_Int_Tables_number 166
_symmetry_space_group_name_Hall '-R 3 2"'
_cell_length_a 12.6421
_cell_length_b 12.6421
_cell_length_c 9.3776
_cell_angle_alpha 90.00
_cell_angle_beta 90.00
_cell_angle_gamma 120.00
loop_
_atom_site_label
_atom_site_fract_x
_atom_site_fract_y
_atom_site_fract_z
Sr1 0.0000 0.0000 0.0000
In1 0.0000 0.3791 0.5000
In2 0.0857 0.1713 0.3366
Cu1 0.0391 0.5196 0.2575
```

[7]
# SrIn2Cu4

An optimized crystal structure of SrIn2Cu4 (PBE-GGA, the Alexandria database).

Computed properties:
Calculated total energy: -98.19 eV/cell
Energy relative to the elements: -0.14 eV per atom

```
data_SrIn2Cu4
_chemical_formula_sum 'Sr4 In8 Cu16'
_symmetry_space_group_name_H-M 'I 4/m c m'
_symmetry_Int_Tables_number 140
_symmetry_space_group_name_Hall '-I 4 2c'
_cell_length_a 8.177
_cell_length_b 8.177
_cell_length_c 8.006
_cell_angle_alpha 90.00
_cell_angle_beta 90.00
_cell_angle_gamma 90.00
loop_
_atom_site_label
_atom_site_fract_x
_atom_site_fract_y
_atom_site_fract_z
Sr1 0.000 0.000 0.250
In1 0.171 0.329 0.000
Cu1 0.127 0.373 0.341
```

[8]
# Sr2In2Cu

An optimized crystal structure of Sr2In2Cu (PBE-GGA, the Alexandria database).

Computed properties:
Calculated total energy: -27.36 eV/cell
Energy relative to the elements: -0.15 eV per atom

```
data_Sr2In2Cu
_chemical_formula_sum 'Sr4 In4 Cu2'
_symmetry_space_group_name_H-M 'P 4/m b m'
_symmetry_Int_Tables_number 127
_symmetry_space_group_name_Hall '-P 4 2ab'
_cell_length_a 7.631
_cell_length_b 7.631
_cell_length_c 5.263
_cell_angle_alpha 90.00
_cell_angle_beta 90.00
_cell_angle_gamma 90.00
loop_
_atom_site_label
_atom_site_fract_x
_atom_site_fract_y
_atom_site_fract_z
Sr1 0.170 0.330 0.000
In1 0.140 0.640 0.500
Cu1 0.000 0.000 0.500
```

[9]
# Sr4In3Cu

An optimized crystal structure of Sr4In3Cu (PBE-GGA, the Alexandria database).

Computed properties:
Calculated total energy: -21.50 eV/cell
Energy relative to the elements: -0.31 eV per atom

```
data_Sr4In3Cu
_chemical_formula_sum 'Sr4 In3 Cu1'
_symmetry_space_group_name_H-M 'P m m 2'
_symmetry_Int_Tables_number 25
_cell_length_a 4.607
_cell_length_b 4.882
_cell_length_c 12.408
_cell_angle_alpha 90.00
_cell_angle_beta 90.00
_cell_angle_gamma 90.00
loop_
_symmetry_equiv_pos_as_xyz
'x,y,z'
'-x,-y,z'
'-x,y,z'
'x,-y,z'
loop_
_atom_site_label
_atom_site_fract_x
_atom_site_fract_y
_atom_site_fract_z
Sr1 0.000 0.000 0.000
Sr2 0.000 0.500 0.278
Sr3 0.500 0.000 0.486
Sr4 0.500 0.500 0.784
In1 0.000 0.000 0.709
In2 0.000 0.500 0.562
In3 0.500 0.500 0.080
Cu1 0.500 0.000 0.184
```

[10]
# Sr3InCu8

An optimized crystal structure of Sr3InCu8 (PBE-GGA, the Alexandria database).

Computed properties:
Calculated total energy: -121.60 eV/cell
Energy relative to the elements: 0.00 eV per atom

```
data_Sr3InCu8
_chemical_formula_sum 'Sr9 In3 Cu24'
_symmetry_space_group_name_H-M 'R 3 m'
_symmetry_Int_Tables_number 160
_symmetry_space_group_name_Hall 'R 3 -2"'
_cell_length_a 5.3546
_cell_length_b 5.3546
_cell_length_c 26.7825
_cell_angle_alpha 90.00
_cell_angle_beta 90.00
_cell_angle_gamma 120.00
loop_
_atom_site_label
_atom_site_fract_x
_atom_site_fract_y
_atom_site_fract_z
Sr1 0.0000 0.0000 0.0000
Sr2 0.0000 0.0000 0.1280
Sr3 0.0000 0.0000 0.6176
In1 0.0000 0.0000 0.4966
Cu1 0.0000 0.0000 0.3102
Cu2 0.0000 0.0000 0.8116
Cu3 0.0037 0.5019 0.0633
Cu4 0.0077 0.5039 0.5586
```

[11]
# SrIn2Cu9

An optimized crystal structure of SrIn2Cu9 (PBE-GGA, the Alexandria database).

Computed properties:
Calculated total energy: -89.90 eV/cell
Energy relative to the elements: -0.08 eV per atom

```
data_SrIn2Cu9
_chemical_formula_sum 'Sr2 In4 Cu18'
_symmetry_space_group_name_H-M 'P 4/m b m'
_symmetry_Int_Tables_number 127
_symmetry_space_group_name_Hall '-P 4 2ab'
_cell_length_a 8.568
_cell_length_b 8.568
_cell_length_c 5.096
_cell_angle_alpha 90.00
_cell_angle_beta 90.00
_cell_angle_gamma 90.00
loop_
_atom_site_label
_atom_site_fract_x
_atom_site_fract_y
_atom_site_fract_z
Sr1 0.000 0.000 0.000
In1 0.123 0.377 0.000
Cu1 0.000 0.500 0.500
Cu2 0.066 0.210 0.500
Cu3 0.176 0.676 0.248
```

[12]
# SrInCu

An optimized crystal structure of SrInCu (PBE-GGA, the Alexandria database).

Computed properties:
Calculated total energy: -18.57 eV/cell
Energy relative to the elements: -0.26 eV per atom

```
data_SrInCu
_chemical_formula_sum 'Sr2 In2 Cu2'
_symmetry_space_group_name_H-M 'P 1 21/m 1'
_symmetry_Int_Tables_number 11
_cell_length_a 5.079
_cell_length_b 4.444
_cell_length_c 7.333
_cell_angle_alpha 90.00
_cell_angle_beta 97.51
_cell_angle_gamma 90.00
loop_
_symmetry_equiv_pos_as_xyz
'x,y,z'
'-x,-y,-z'
'-x,y+1/2,-z'
'x,-y+1/2,z'
loop_
_atom_site_label
_atom_site_fract_x
_atom_site_fract_y
_atom_site_fract_z
Sr1 0.231 0.250 0.330
In1 0.334 0.250 0.847
Cu1 0.142 0.750 0.023
```

[13]
# SrIn4Cu

An optimized crystal structure of SrIn4Cu (PBE-GGA, the Alexandria database).

Computed properties:
Calculated total energy: -35.31 eV/cell
Energy relative to the elements: -0.15 eV per atom

```
data_SrIn4Cu
_chemical_formula_sum 'Sr2 In8 Cu2'
_symmetry_space_group_name_H-M 'P -1'
_symmetry_Int_Tables_number 2
_cell_length_a 6.563
_cell_length_b 6.632
_cell_length_c 7.701
_cell_angle_alpha 77.96
_cell_angle_beta 76.75
_cell_angle_gamma 89.95
loop_
_symmetry_equiv_pos_as_xyz
'x,y,z'
'-x,-y,-z'
loop_
_atom_site_label
_atom_site_fract_x
_atom_site_fract_y
_atom_site_fract_z
Sr1 0.232 0.188 0.346
In1 0.058 0.725 0.234
In2 0.223 0.902 0.820
In3 0.305 0.643 0.527
In4 0.396 0.373 0.877
Cu1 0.000 0.500 0.000
Cu2 0.500 0.000 0.000
```

[14]
# SrInCu

An optimized crystal structure of SrInCu (PBE-GGA, the Alexandria database).

Computed properties:
Calculated total energy: -37.30 eV/cell
Energy relative to the elements: -0.27 eV per atom

```
data_SrInCu
_chemical_formula_sum 'Sr4 In4 Cu4'
_symmetry_space_group_name_H-M 'C 1 2/m 1'
_symmetry_Int_Tables_number 12
_cell_length_a 12.865
_cell_length_b 4.393
_cell_length_c 5.751
_cell_angle_alpha 90.00
_cell_angle_beta 100.22
_cell_angle_gamma 90.00
loop_
_symmetry_equiv_pos_as_xyz
'x,y,z'
'-x,-y,-z'
'-x,y,-z'
'x,-y,z'
'x+1/2,y+1/2,z'
'-x+1/2,-y+1/2,-z'
'-x+1/2,y+1/2,-z'
'x+1/2,-y+1/2,z'
loop_
_atom_site_label
_atom_site_fract_x
_atom_site_fract_y
_atom_site_fract_z
Sr1 0.119 0.000 0.324
In1 0.094 0.500 0.812
Cu1 0.218 0.000 0.883
```

[15]
# SrTaIn2Cu

An optimized crystal structure of SrTaIn2Cu (PBE-GGA, the Alexandria database).

Computed properties:
Calculated total energy: -17.78 eV/cell
Energy relative to the elements: 1.07 eV per atom

```
data_SrTaIn2Cu
_chemical_formula_sum 'Sr1 Ta1 In2 Cu1'
_symmetry_space_group_name_H-M 'P 4/m m m'
_symmetry_Int_Tables_number 123
_symmetry_space_group_name_Hall '-P 4 2'
_cell_length_a 5.441
_cell_length_b 5.441
_cell_length_c 5.771
_cell_angle_alpha 90.00
_cell_angle_beta 90.00
_cell_angle_gamma 90.00
loop_
_atom_site_label
_atom_site_fract_x
_atom_site_fract_y
_atom_site_fract_z
Sr1 0.000 0.000 0.000
Ta1 0.000 0.000 0.500
In1 0.000 0.500 0.500
Cu1 0.500 0.500 0.000
```

[16]
# SrTiIn2Cu

An optimized crystal structure of SrTiIn2Cu (PBE-GGA, the Alexandria database).

Computed properties:
Calculated total energy: -16.73 eV/cell
Energy relative to the elements: 0.48 eV per atom

```
data_SrTiIn2Cu
_chemical_formula_sum 'Sr1 Ti1 In2 Cu1'
_symmetry_space_group_name_H-M 'P 4/m m m'
_symmetry_Int_Tables_number 123
_symmetry_space_group_name_Hall '-P 4 2'
_cell_length_a 5.001
_cell_length_b 5.001
_cell_length_c 5.397
_cell_angle_alpha 90.00
_cell_angle_beta 90.00
_cell_angle_gamma 90.00
loop_
_atom_site_label
_atom_site_fract_x
_atom_site_fract_y
_atom_site_fract_z
Sr1 0.000 0.000 0.000
Ti1 0.500 0.500 0.000
In1 0.000 0.500 0.500
Cu1 0.000 0.000 0.500
```

[17]
# Sr2TlInCu

An optimized crystal structure of Sr2TlInCu (PBE-GGA, the Alexandria database).

Computed properties:
Calculated total energy: -13.43 eV/cell
Energy relative to the elements: -0.17 eV per atom

```
data_Sr2TlInCu
_chemical_formula_sum 'Sr2 Tl1 In1 Cu1'
_symmetry_space_group_name_H-M 'P 4/m m m'
_symmetry_Int_Tables_number 123
_symmetry_space_group_name_Hall '-P 4 2'
_cell_length_a 5.911
_cell_length_b 5.911
_cell_length_c 4.903
_cell_angle_alpha 90.00
_cell_angle_beta 90.00
_cell_angle_gamma 90.00
loop_
_atom_site_label
_atom_site_fract_x
_atom_site_fract_y
_atom_site_fract_z
Sr1 0.000 0.500 0.000
Tl1 0.000 0.000 0.500
In1 0.500 0.500 0.500
Cu1 0.500 0.500 0.000
```

[18]
# SrTlIn2Cu

An optimized crystal structure of SrTlIn2Cu (PBE-GGA, the Alexandria database).

Computed properties:
Calculated total energy: -14.02 eV/cell
Energy relative to the elements: -0.08 eV per atom

```
data_SrTlIn2Cu
_chemical_formula_sum 'Sr1 Tl1 In2 Cu1'
_symmetry_space_group_name_H-M 'P 4/m m m'
_symmetry_Int_Tables_number 123
_symmetry_space_group_name_Hall '-P 4 2'
_cell_length_a 5.167
_cell_length_b 5.167
_cell_length_c 5.343
_cell_angle_alpha 90.00
_cell_angle_beta 90.00
_cell_angle_gamma 90.00
loop_
_atom_site_label
_atom_site_fract_x
_atom_site_fract_y
_atom_site_fract_z
Sr1 0.000 0.000 0.000
Tl1 0.500 0.500 0.000
In1 0.000 0.500 0.500
Cu1 0.500 0.500 0.500
```

[19]
# SrTmInCu

An optimized crystal structure of SrTmInCu (PBE-GGA, the Alexandria database).

Computed properties:
Calculated total energy: -54.39 eV/cell
Energy relative to the elements: -0.15 eV per atom

```
data_SrTmInCu
_chemical_formula_sum 'Sr4 Tm4 In4 Cu4'
_symmetry_space_group_name_H-M 'F -4 3 m'
_symmetry_Int_Tables_number 216
_symmetry_space_group_name_Hall 'F -4 2 3'
_cell_length_a 7.517
_cell_length_b 7.517
_cell_length_c 7.517
_cell_angle_alpha 90.00
_cell_angle_beta 90.00
_cell_angle_gamma 90.00
loop_
_atom_site_label
_atom_site_fract_x
_atom_site_fract_y
_atom_site_fract_z
Sr1 0.000 0.000 0.000
Tm1 0.000 0.000 0.500
In1 0.250 0.250 0.250
Cu1 0.250 0.250 0.750
```

[20]
# SrInCu2W

An optimized crystal structure of SrInCu2W (PBE-GGA, the Alexandria database).

Computed properties:
Calculated total energy: -20.05 eV/cell
Energy relative to the elements: 1.10 eV per atom

```
data_SrInCu2W
_chemical_formula_sum 'Sr1 In1 Cu2 W1'
_symmetry_space_group_name_H-M 'P 4/m m m'
_symmetry_Int_Tables_number 123
_symmetry_space_group_name_Hall '-P 4 2'
_cell_length_a 4.886
_cell_length_b 4.886
_cell_length_c 5.242
_cell_angle_alpha 90.00
_cell_angle_beta 90.00
_cell_angle_gamma 90.00
loop_
_atom_site_label
_atom_site_fract_x
_atom_site_fract_y
_atom_site_fract_z
Sr1 0.000 0.000 0.000
In1 0.500 0.500 0.500
Cu1 0.000 0.500 0.500
W1 0.500 0.500 0.000
```

[21]
# SrZn2InCu

An optimized crystal structure of SrZn2InCu (PBE-GGA, the Alexandria database).

Computed properties:
Calculated total energy: -11.43 eV/cell
Energy relative to the elements: -0.07 eV per atom

```
data_SrZn2InCu
_chemical_formula_sum 'Sr1 Zn2 In1 Cu1'
_symmetry_space_group_name_H-M 'P 4/m m m'
_symmetry_Int_Tables_number 123
_symmetry_space_group_name_Hall '-P 4 2'
_cell_length_a 4.830
_cell_length_b 4.830
_cell_length_c 5.009
_cell_angle_alpha 90.00
_cell_angle_beta 90.00
_cell_angle_gamma 90.00
loop_
_atom_site_label
_atom_site_fract_x
_atom_site_fract_y
_atom_site_fract_z
Sr1 0.000 0.000 0.000
Zn1 0.000 0.500 0.500
In1 0.500 0.500 0.000
Cu1 0.500 0.500 0.500
```